one) This record from the Alexandria database describes CaYZn at its PBEsol-relaxed geometry. The functional is meta-GGA SCAN.

a = 4.9181 Å, b = 4.9181 Å, c = 4.9181 Å
α = 60.00°, β = 60.00°, γ = 60.00°
Closest atoms and distances in Å follow each position.
Sites, in units of the cell vectors:
Zn: 0.0000 0.0000 0.0000  4 Y 3.01
Y: 0.2500 0.2500 0.2500  4 Ca 3.01, 4 Zn 3.01
Ca: 0.5000 0.5000 0.5000  4 Y 3.01

Computed properties:
The value obtained for the density is 3.837 g/cm3. Its density of states at the Fermi level is 1.258 states/eV per atom. The total moment comes out at 0.0 μB/f.u.

=====

two) This record from the Alexandria database describes CaYZn at its PBEsol-relaxed geometry. The functional is meta-GGA SCAN.

a = 3.5587 Å, b = 3.5587 Å, c = 6.8489 Å
α = 105.06°, β = 105.06°, γ = 90.00°
Closest atoms and distances in Å follow each position.
Sites, in units of the cell vectors:
Ca: 0.0255 0.0255 0.0511  4 Zn 3.15, 1 Y 3.49
Zn: 0.6748 0.6748 0.3495  4 Y 2.98, 4 Ca 3.15
Y: 0.2997 0.2997 0.5994  4 Zn 2.98

Computed properties:
The value obtained for the density is 4.002 g/cm3. Its density of states at the Fermi level is 0.927 states/eV per atom. The total moment comes out at 0.1 μB/f.u.

=====

What should be chosen as the least stable of them? Choose one).

=====

one) This record from the Alexandria database describes Ca2YZr at its PBEsol-relaxed geometry. The functional is meta-GGA SCAN.

a = 3.3405 Å, b = 5.9050 Å, c = 6.2055 Å
α = 90.00°, β = 96.31°, γ = 90.00°
Closest atoms and distances in Å follow each position.
Sites, in units of the cell vectors:
Ca: 0.7553 0.0000 0.7421  5 Ca 3.29-3.57, 2 Zr 3.45, 2 Y 3.51
Ca: 0.2447 0.0000 0.2579  5 Ca 3.29-3.57, 2 Zr 3.45, 2 Y 3.51
Y: 0.5000 0.5000 0.0000  2 Y 3.34, 4 Zr 3.36-3.68, 4 Ca 3.51
Zr: 0.0000 0.5000 0.5000  2 Zr 3.34, 4 Y 3.36-3.68, 4 Ca 3.45

Computed properties:
The value obtained for the density is 3.553 g/cm3. Its density of states at the Fermi level is 1.135 states/eV per atom. The total moment comes out at 1.9 μB/f.u.

=====

two) This record from the Alexandria database describes Ca2YZr at its PBEsol-relaxed geometry. The functional is meta-GGA SCAN.

a = 3.3498 Å, b = 6.2998 Å, c = 6.2998 Å
α = 115.32°, β = 90.00°, γ = 90.00°
Closest atoms and distances in Å follow each position.
Sites, in units of the cell vectors:
Ca: 0.0000 0.0000 0.5000  4 Ca 3.35-3.37, 4 Y 3.57, 4 Zr 3.57
Ca: 0.0000 0.5000 0.0000  4 Ca 3.35-3.37, 4 Zr 3.57, 4 Y 3.57
Y: 0.5000 0.0000 0.0000  2 Y 3.35, 2 Zr 3.37, 8 Ca 3.57
Zr: 0.5000 0.5000 0.5000  2 Zr 3.35, 2 Y 3.37, 8 Ca 3.57

Computed properties:
The value obtained for the density is 3.596 g/cm3. Its density of states at the Fermi level is 1.016 states/eV per atom. The total moment comes out at 2.9 μB/f.u.

=====

What should be chosen as the least stable of them? Choose two).

=====

one) This record from the Alexandria database describes Ca2YZr at its PBEsol-relaxed geometry. The functional is meta-GGA SCAN.

a = 5.5568 Å, b = 5.5568 Å, c = 5.5568 Å
α = 60.00°, β = 60.00°, γ = 60.00°
Closest atoms and distances in Å follow each position.
Sites, in units of the cell vectors:
Zr: 0.5000 0.5000 0.5000  8 Ca 3.40
Ca: 0.2500 0.2500 0.2500  4 Zr 3.40, 4 Y 3.40
Ca: 0.7500 0.7500 0.7500  4 Zr 3.40, 4 Y 3.40
Y: 0.0000 0.0000 0.0000  8 Ca 3.40

Computed properties:
The value obtained for the density is 3.562 g/cm3. Its density of states at the Fermi level is 1.383 states/eV per atom. The total moment comes out at 0.1 μB/f.u.

=====

two) This record from the Alexandria database describes Ca2YZr at its PBEsol-relaxed geometry. The functional is meta-GGA SCAN.

a = 3.5910 Å, b = 5.6617 Å, c = 6.8972 Å
α = 114.23°, β = 105.09°, γ = 90.00°
Closest atoms and distances in Å follow each position.
Sites, in units of the cell vectors:
Zr: 0.0000 0.5000 0.0000  4 Y 3.35, 4 Ca 3.35, 2 Zr 3.59
Y: 0.5000 0.0000 0.0000  4 Zr 3.35, 2 Y 3.59, 4 Ca 3.66
Ca: 0.2650 0.2650 0.5300  2 Zr 3.35, 6 Ca 3.37-3.59, 2 Y 3.66
Ca: 0.7350 0.7350 0.4700  2 Zr 3.35, 6 Ca 3.37-3.59, 2 Y 3.66

Computed properties:
The value obtained for the density is 3.527 g/cm3. Its density of states at the Fermi level is 1.065 states/eV per atom. The total moment comes out at 1.7 μB/f.u.

=====

three) This record from the Alexandria database describes Ca2YZr at its PBEsol-relaxed geometry. The functional is meta-GGA SCAN.

a = 4.7700 Å, b = 4.7700 Å, c = 5.2983 Å
α = 90.00°, β = 90.00°, γ = 90.00°
Closest atoms and distances in Å follow each position.
Sites, in units of the cell vectors:
Zr: 0.0000 0.0000 0.5000  4 Y 3.37, 8 Ca 3.56
Y: 0.5000 0.5000 0.5000  4 Zr 3.37, 8 Ca 3.56
Ca: 0.0000 0.5000 0.0000  4 Ca 3.37, 4 Zr 3.56, 4 Y 3.56
Ca: 0.5000 0.0000 0.0000  4 Ca 3.37, 4 Zr 3.56, 4 Y 3.56

Computed properties:
The value obtained for the density is 3.585 g/cm3. Its density of states at the Fermi level is 0.963 states/eV per atom. The total moment comes out at 2.9 μB/f.u.

=====

What should be chosen as the least stable of them? Choose one).

=====

one) This record from the Alexandria database describes Ca5Zn3 at its PBEsol-relaxed geometry. The functional is meta-GGA SCAN.

a = 6.0707 Å, b = 9.0723 Å, c = 9.0723 Å
α = 83.57°, β = 70.45°, γ = 70.45°
Closest atoms and distances in Å follow each position.
Sites, in units of the cell vectors:
Zn: 0.7500 0.0000 0.0000  2 Zn 3.04, 8 Ca 3.16
Zn: 0.1596 0.1807 0.5000  6 Ca 3.12-3.30
Zn: 0.8404 0.8193 0.5000  6 Ca 3.12-3.30
Zn: 0.6596 0.5000 0.1807  6 Ca 3.12-3.30
Zn: 0.2500 0.0000 0.0000  2 Zn 3.04, 8 Ca 3.16
Zn: 0.3404 0.5000 0.8193  6 Ca 3.12-3.30
Ca: 0.7141 0.7035 0.8684  6 Zn 3.16-3.52, 1 Ca 3.48
Ca: 0.9176 0.2965 0.8684  6 Zn 3.16-3.52, 1 Ca 3.48
Ca: 0.2859 0.2965 0.1316  6 Zn 3.16-3.52, 1 Ca 3.48
Ca: 0.7859 0.1316 0.2965  6 Zn 3.16-3.52, 1 Ca 3.48
Ca: 0.0824 0.7035 0.1316  6 Zn 3.16-3.52, 1 Ca 3.48
Ca: 0.4176 0.8684 0.2965  6 Zn 3.16-3.52, 1 Ca 3.48
Ca: 0.2500 0.5000 0.5000  2 Ca 3.04, 4 Zn 3.12
Ca: 0.5824 0.1316 0.7035  6 Zn 3.16-3.52, 1 Ca 3.48
Ca: 0.7500 0.5000 0.5000  2 Ca 3.04, 4 Zn 3.12
Ca: 0.2141 0.8684 0.7035  6 Zn 3.16-3.52, 1 Ca 3.48

Computed properties:
The value obtained for the density is 2.969 g/cm3. Its density of states at the Fermi level is 0.805 states/eV per atom. The total moment comes out at 0.0 μB/f.u.

=====

two) This record from the Alexandria database describes Ca5Zn3 at its PBEsol-relaxed geometry. The functional is meta-GGA SCAN.

a = 5.1376 Å, b = 6.5877 Å, c = 6.5877 Å
α = 104.59°, β = 90.00°, γ = 90.00°
Closest atoms and distances in Å follow each position.
Sites, in units of the cell vectors:
Ca: 0.0000 0.0000 0.0000  8 Ca 3.29-3.47, 4 Zn 3.41
Ca: 0.0000 0.0000 0.5000  6 Zn 3.29, 6 Ca 3.29-3.67
Ca: 0.5000 0.7106 0.7106  6 Zn 3.08-3.42, 1 Ca 3.39
Ca: 0.5000 0.2894 0.2894  6 Zn 3.08-3.42, 1 Ca 3.39
Ca: 0.0000 0.5000 0.0000  6 Zn 3.29, 6 Ca 3.29-3.67
Zn: 0.5000 0.2149 0.7851  10 Ca 3.23-3.42
Zn: 0.5000 0.7851 0.2149  10 Ca 3.23-3.42
Zn: 0.0000 0.5000 0.5000  8 Ca 3.08-3.29

Computed properties:
The value obtained for the density is 3.052 g/cm3. Its density of states at the Fermi level is 0.883 states/eV per atom. The total moment comes out at 0.0 μB/f.u.

=====

What should be chosen as the least stable of them? Choose two).

=====

one) This record from the Alexandria database describes Ca3Zr at its PBEsol-relaxed geometry. The functional is meta-GGA SCAN.

a = 3.4795 Å, b = 6.2124 Å, c = 6.3857 Å
α = 98.91°, β = 90.00°, γ = 106.26°
Closest atoms and distances in Å follow each position.
Sites, in units of the cell vectors:
Zr: 0.0000 0.0000 0.0000  2 Zr 3.48, 10 Ca 3.49-3.64
Ca: 0.2583 0.5166 0.7670  9 Ca 3.48-3.80, 3 Zr 3.49-3.63
Ca: 0.7417 0.4834 0.2330  9 Ca 3.48-3.80, 3 Zr 3.49-3.63
Ca: 0.5000 0.0000 0.5000  8 Ca 3.48-3.71, 4 Zr 3.64

Computed properties:
The value obtained for the density is 2.685 g/cm3. Its density of states at the Fermi level is 0.766 states/eV per atom. The total moment comes out at 2.1 μB/f.u.

=====

two) This record from the Alexandria database describes Ca3Zr at its PBEsol-relaxed geometry. The functional is meta-GGA SCAN.

a = 3.6877 Å, b = 5.9374 Å, c = 6.8784 Å
α = 115.57°, β = 105.55°, γ = 90.00°
Closest atoms and distances in Å follow each position.
Sites, in units of the cell vectors:
Zr: 0.0000 0.5000 0.0000  8 Ca 3.34-3.49, 2 Zr 3.69
Ca: 0.7348 0.7348 0.4696  2 Zr 3.34, 8 Ca 3.51-3.69
Ca: 0.5000 0.0000 0.0000  4 Zr 3.49, 6 Ca 3.64-3.69
Ca: 0.2652 0.2652 0.5304  2 Zr 3.34, 8 Ca 3.51-3.69

Computed properties:
The value obtained for the density is 2.707 g/cm3. Its density of states at the Fermi level is 1.163 states/eV per atom. The total moment comes out at 1.8 μB/f.u.

=====

three) This record from the Alexandria database describes Ca3Zr at its PBEsol-relaxed geometry. The functional is meta-GGA SCAN.

a = 3.5311 Å, b = 3.5311 Å, c = 12.0228 Å
α = 90.00°, β = 90.00°, γ = 120.00°
Closest atoms and distances in Å follow each position.
Sites, in units of the cell vectors:
Zr: 0.3333 0.6667 0.5000  6 Ca 3.39, 6 Zr 3.53
Ca: 0.3333 0.6667 0.0000  12 Ca 3.53-3.89
Ca: 0.0000 0.0000 0.2751  3 Zr 3.39, 6 Ca 3.53
Ca: 0.0000 0.0000 0.7249  3 Zr 3.39, 6 Ca 3.53

Computed properties:
The value obtained for the density is 2.705 g/cm3. Its density of states at the Fermi level is 1.359 states/eV per atom. The total moment comes out at 0.6 μB/f.u.

=====

What should be chosen as the least stable of them? Choose two).

=====

one) This record from the Alexandria database describes CaZr at its PBEsol-relaxed geometry. The functional is meta-GGA SCAN.

a = 3.7438 Å, b = 3.7438 Å, c = 8.4330 Å
α = 90.00°, β = 90.00°, γ = 90.00°
Closest atoms and distances in Å follow each position.
Sites, in units of the cell vectors:
Ca: 0.5000 0.0000 0.8287  5 Zr 3.33-3.45
Ca: 0.0000 0.5000 0.1713  5 Zr 3.33-3.45
Zr: 0.5000 0.0000 0.4338  4 Zr 2.87
Zr: 0.0000 0.5000 0.5662  4 Zr 2.87

Computed properties:
The value obtained for the density is 3.689 g/cm3. Its density of states at the Fermi level is 1.517 states/eV per atom. The total moment comes out at 0.0 μB/f.u.

=====

two) This record from the Alexandria database describes CaZr at its PBEsol-relaxed geometry. The functional is meta-GGA SCAN.

a = 5.3637 Å, b = 5.3637 Å, c = 5.3637 Å
α = 60.00°, β = 60.00°, γ = 60.00°
Closest atoms and distances in Å follow each position.
Sites, in units of the cell vectors:
Zr: 0.2500 0.2500 0.2500  4 Zr 3.28, 4 Ca 3.28
Zr: 0.0000 0.0000 0.0000  4 Ca 3.28, 4 Zr 3.28
Ca: 0.5000 0.5000 0.5000  4 Zr 3.28, 4 Ca 3.28
Ca: 0.7500 0.7500 0.7500  4 Ca 3.28, 4 Zr 3.28

Computed properties:
The value obtained for the density is 3.996 g/cm3. Its density of states at the Fermi level is 0.916 states/eV per atom. The total moment comes out at 1.3 μB/f.u.

=====

three) This record from the Alexandria database describes CaZr at its PBEsol-relaxed geometry. The functional is meta-GGA SCAN.

a = 3.4311 Å, b = 4.1365 Å, c = 8.2634 Å
α = 90.00°, β = 90.00°, γ = 90.00°
Closest atoms and distances in Å follow each position.
Sites, in units of the cell vectors:
Zr: 0.5000 0.5000 0.9252  4 Zr 2.96
Zr: 0.0000 0.0000 0.0748  4 Zr 2.96
Ca: 0.5000 0.5000 0.3343  5 Zr 3.38-3.44, 2 Ca 3.43
Ca: 0.0000 0.0000 0.6657  5 Zr 3.38-3.44, 2 Ca 3.43

Computed properties:
The value obtained for the density is 3.718 g/cm3. Its density of states at the Fermi level is 1.298 states/eV per atom. The total moment comes out at 0.0 μB/f.u.

=====

What should be chosen as the least stable of them? Choose two).

=====

one) This record from the Alexandria database describes Cd at its PBEsol-relaxed geometry. The functional is meta-GGA SCAN.

a = 3.0211 Å, b = 3.0211 Å, c = 5.3986 Å
α = 106.25°, β = 106.25°, γ = 90.00°
Closest atoms and distances in Å follow each position.
Sites, in units of the cell vectors:
Cd: 0.8600 0.8600 0.7200  9 Cd 2.78-3.05
Cd: 0.1400 0.1400 0.2800  9 Cd 2.78-3.05

Computed properties:
The value obtained for the density is 8.250 g/cm3. Its density of states at the Fermi level is 0.350 states/eV per atom. The total moment comes out at 0.0 μB/f.u.

=====

two) This record from the Alexandria database describes Cd at its PBEsol-relaxed geometry. The functional is meta-GGA SCAN.

a = 2.8675 Å, b = 4.2875 Å, c = 4.2875 Å
α = 83.58°, β = 70.46°, γ = 70.46°
Closest atoms and distances in Å follow each position.
Sites, in units of the cell vectors:
Cd: 0.0000 0.0000 0.0000  6 Cd 2.87-2.95
Cd: 0.7500 0.5000 0.5000  6 Cd 2.87-2.95

Computed properties:
The value obtained for the density is 7.974 g/cm3. Its density of states at the Fermi level is 0.367 states/eV per atom. The total moment comes out at 0.0 μB/f.u.

=====

What should be chosen as the least stable of them? Choose two).

=====

one) This record from the Alexandria database describes Cd at its PBEsol-relaxed geometry. The functional is meta-GGA SCAN.

a = 3.5180 Å, b = 3.5180 Å, c = 3.5180 Å
α = 84.16°, β = 84.16°, γ = 84.16°
Closest atoms and distances in Å follow each position.
Sites, in units of the cell vectors:
Cd: 0.2501 0.2501 0.2501  6 Cd 2.94
Cd: 0.7499 0.7499 0.7499  6 Cd 2.94

Computed properties:
The value obtained for the density is 8.701 g/cm3. Its density of states at the Fermi level is 0.261 states/eV per atom. The total moment comes out at 0.0 μB/f.u.

=====

two) This record from the Alexandria database describes Cd at its PBEsol-relaxed geometry. The functional is meta-GGA SCAN.

a = 3.0206 Å, b = 3.0206 Å, c = 3.0206 Å
α = 109.47°, β = 109.47°, γ = 109.47°
Closest atoms and distances in Å follow each position.
Sites, in units of the cell vectors:
Cd: 0.0000 0.0000 0.0000  8 Cd 3.02

Computed properties:
The value obtained for the density is 8.798 g/cm3. Its density of states at the Fermi level is 0.324 states/eV per atom. The total moment comes out at 0.0 μB/f.u.

=====

What should be chosen as the least stable of them? Choose two).